(A)
LiAgAu | PBE | relaxed

Results
- DOS(E_F): 0.10 states/eV/atom

extended XYZ file:
```
3
Lattice="5.835 -0.565 1.033 3.050 3.176 0.152 -0.481 0.323 2.897" Properties=species:S:1:pos:R:3 pbc="T T T"
Au -0.241 0.162 1.449
Ag 4.443 1.305 0.592
Li 1.525 1.588 0.076
```

=====

(B)
LiAgAu | PBE | relaxed

Results
- DOS(E_F): 0.25 states/eV/atom

extended XYZ file:
```
3
Lattice="6.153 -0.061 0.063 5.487 2.784 0.092 0.666 0.127 2.842" Properties=species:S:1:pos:R:3 pbc="T T T"
Au 4.196 0.962 1.978
Ag 0.735 0.144 2.825
Li 8.041 1.872 1.037
```

=====

(C)
LiAgAu | PBE | relaxed

Results
- DOS(E_F): 0.36 states/eV/atom

extended XYZ file:
```
3
Lattice="4.500 0.000 0.000 -2.250 3.897 0.000 0.000 0.000 2.849" Properties=species:S:1:pos:R:3 pbc="T T T"
Au 2.250 1.299 1.115
Ag 0.000 0.000 2.692
Li 0.000 2.598 1.891
```

=====

Among the structures above, stability is greatest for (C).